# Dy3Mn5N12 | Alexandria via LeMat-Bulk | PBE | optimized geometry
# - electronic total energy (eV per atom) = -8.470
# - formation energy (no corrections) (meV per atom) = -492.5
# - crystal system = cubic
# - magnetic moment (μB/atom) = 0.2950
# - calculated volume (Å³/atom) = 11.35
data_Dy3Mn5N12
_chemical_formula_sum 'Dy24 Mn40 N96'
_space_group_name_H-M_alt 'I a -3 d'
_space_group_IT_number 230
_space_group_name_Hall '-I 4bd 2c 3'
_cell_length_a 12.2018
_cell_length_b 12.2018
_cell_length_c 12.2018
_cell_angle_alpha 90.00
_cell_angle_beta 90.00
_cell_angle_gamma 90.00
loop_
_atom_site_label
_atom_site_fract_x
_atom_site_fract_y
_atom_site_fract_z
_atom_site_occupancy
Dy1 0.0000 0.2500 0.1250 1
Mn1 0.0000 0.0000 0.0000 1
Mn2 0.0000 0.2500 0.3750 1
N1 0.0370 0.0486 0.6506 1

=====

# VHI2N | Alexandria via LeMat-Bulk | PBE | optimized geometry
# - electronic total energy (eV per atom) = -4.324
# - crystal system = tetragonal
# - magnetic moment (μB/atom) = 0.2442
# - calculated volume (Å³/atom) = 22.46
data_VHI2N
_chemical_formula_sum 'V1 H1 I2 N1'
_space_group_name_H-M_alt 'P 4/m m m'
_space_group_IT_number 123
_space_group_name_Hall '-P 4 2'
_cell_length_a 5.5465
_cell_length_b 5.5465
_cell_length_c 3.6511
_cell_angle_alpha 90.00
_cell_angle_beta 90.00
_cell_angle_gamma 90.00
loop_
_atom_site_label
_atom_site_fract_x
_atom_site_fract_y
_atom_site_fract_z
_atom_site_occupancy
V1 0.0000 0.0000 0.0000 1
H1 0.5000 0.5000 0.5000 1
I1 0.0000 0.5000 0.0000 1
N1 0.0000 0.0000 0.5000 1

=====

# Mn2CrCl | Alexandria via LeMat-Bulk | PBE | optimized geometry
# - electronic total energy (eV per atom) = -7.197
# - formation energy (no corrections) (meV per atom) = 255.6
# - crystal system = tetragonal
# - magnetic moment (μB/atom) = 1.0686
# - calculated volume (Å³/atom) = 16.34
data_Mn2CrCl
_chemical_formula_sum 'Mn2 Cr1 Cl1'
_space_group_name_H-M_alt 'P 4 m m'
_space_group_IT_number 99
_space_group_name_Hall 'P 4 -2'
_cell_length_a 2.9923
_cell_length_b 2.9923
_cell_length_c 7.3002
_cell_angle_alpha 90.00
_cell_angle_beta 90.00
_cell_angle_gamma 90.00
loop_
_atom_site_label
_atom_site_fract_x
_atom_site_fract_y
_atom_site_fract_z
_atom_site_occupancy
Mn1 0.0000 0.0000 0.0000 1
Mn2 0.5000 0.5000 0.2374 1
Cr1 0.5000 0.5000 0.8225 1
Cl1 0.0000 0.0000 0.4530 1

=====

# NaCd2SnSe4 | Alexandria via LeMat-Bulk | PBE | optimized geometry
# - electronic total energy (eV per atom) = -3.224
# - formation energy (no corrections) (meV per atom) = -588.1
# - crystal system = tetragonal
# - magnetic moment (μB/atom) = 0.0000
# - calculated volume (Å³/atom) = 31.88
data_NaCd2SnSe4
_chemical_formula_sum 'Na2 Cd4 Sn2 Se8'
_space_group_name_H-M_alt 'I -4 2 m'
_space_group_IT_number 121
_space_group_name_Hall 'I -4 2'
_cell_length_a 6.3637
_cell_length_b 6.3637
_cell_length_c 12.5963
_cell_angle_alpha 90.00
_cell_angle_beta 90.00
_cell_angle_gamma 90.00
loop_
_atom_site_label
_atom_site_fract_x
_atom_site_fract_y
_atom_site_fract_z
_atom_site_occupancy
Na1 0.0000 0.0000 0.0000 1
Cd1 0.0000 0.5000 0.2500 1
Sn1 0.0000 0.0000 0.5000 1
Se1 0.2417 0.2417 0.3695 1

=====

# Er4ThIn | Alexandria via LeMat-Bulk | PBE | optimized geometry
# - E_form (kJ per mole of atoms) = -13.74
# - electronic total energy (eV per atom) = -4.877
# - crystal system = tetragonal
# - magnetic moment (μB/atom) = 0.0000
# - calculated volume (Å³/atom) = 29.64
data_Er4ThIn
_chemical_formula_sum 'Er4 Th1 In1'
_space_group_name_H-M_alt 'P 4/m m m'
_space_group_IT_number 123
_space_group_name_Hall '-P 4 2'
_cell_length_a 3.5563
_cell_length_b 3.5563
_cell_length_c 14.0592
_cell_angle_alpha 90.00
_cell_angle_beta 90.00
_cell_angle_gamma 90.00
loop_
_atom_site_label
_atom_site_fract_x
_atom_site_fract_y
_atom_site_fract_z
_atom_site_occupancy
Er1 0.0000 0.0000 0.1470 1
Er2 0.5000 0.5000 0.3277 1
Th1 0.0000 0.0000 0.5000 1
In1 0.5000 0.5000 0.0000 1

=====

# TlZnCu2 | Alexandria via LeMat-Bulk | PBE | optimized geometry
# - E_form (kJ per mole of atoms) = 23.76
# - electronic total energy (eV per atom) = -2.712
# - crystal system = tetragonal
# - magnetic moment (μB/atom) = 0.0000
# - calculated volume (Å³/atom) = 16.06
data_TlZnCu2
_chemical_formula_sum 'Tl2 Zn2 Cu4'
_space_group_name_H-M_alt 'I -4 m 2'
_space_group_IT_number 119
_space_group_name_Hall 'I -4 -2'
_cell_length_a 4.0089
_cell_length_b 4.0089
_cell_length_c 7.9964
_cell_angle_alpha 90.00
_cell_angle_beta 90.00
_cell_angle_gamma 90.00
loop_
_atom_site_label
_atom_site_fract_x
_atom_site_fract_y
_atom_site_fract_z
_atom_site_occupancy
Tl1 0.0000 0.0000 0.0000 1
Zn1 0.0000 0.5000 0.7500 1
Cu1 0.0000 0.0000 0.5000 1
Cu2 0.0000 0.5000 0.2500 1